No. 1
Crystalline MnInS3 at its relaxed geometry, computed with PBE.

Unit cell a=3.7905 b=6.8981 c=11.1731 alpha=90.00 beta=90.00 gamma=90.00
Sites, in units of the cell vectors:
Mn (0.0000, 0.0000, 0.0000)
Mn (0.0000, 0.5000, 0.5000)
In (0.5000, 0.0000, 0.3480)
In (0.5000, 0.5000, 0.8480)
S (0.0000, 0.2490, 0.3684)
S (0.0000, 0.2510, 0.8684)
S (0.0000, 0.7490, 0.8684)
S (0.0000, 0.7510, 0.3684)
S (0.5000, 0.0000, 0.1126)
S (0.5000, 0.5000, 0.6126)

DOS(E_F): 0.407 states/eV/atom
Formation energy from raw total energies: -0.377 eV/atom
Spin magnetization: 0.799 μB per atom
Crystal system: orthorhombic
Calculated total energy: -5.235 eV per atom

No. 2
Crystalline CeU5C6 at its relaxed geometry, computed with PBE.

Unit cell a=6.0488 b=6.0488 c=6.0912 alpha=99.56 beta=99.56 gamma=119.30
Sites, in units of the cell vectors:
Ce (0.0000, 0.0000, 0.0000)
U (0.1607, 0.8393, 0.5000)
U (0.3306, 0.6694, 0.0000)
U (0.5000, 0.5000, 0.5000)
U (0.6694, 0.3306, 0.0000)
U (0.8393, 0.1607, 0.5000)
C (0.0904, 0.4442, 0.2686)
C (0.2766, 0.2766, 0.7501)
C (0.4442, 0.0904, 0.2686)
C (0.5558, 0.9096, 0.7314)
C (0.7234, 0.7234, 0.2499)
C (0.9096, 0.5558, 0.7314)

DOS(E_F): 1.336 states/eV/atom
Formation energy from the elements: -1.60 eV per formula unit
Spin magnetization: 0.000 μB per atom
Crystal system: monoclinic
Calculated total energy: -9.943 eV per atom

No. 3
Crystalline Ba2LiSiH at its relaxed geometry, computed with PBE.

Unit cell a=5.4918 b=5.4918 c=4.4011 alpha=90.00 beta=90.00 gamma=90.00
Sites, in units of the cell vectors:
Ba (0.0000, 0.5000, 0.0000)
Ba (0.5000, 0.0000, 0.0000)
Li (0.0000, 0.0000, 0.5000)
Si (0.5000, 0.5000, 0.5000)
H (0.0000, 0.0000, 0.0000)

DOS(E_F): 0.484 states/eV/atom
Spin magnetization: 0.000 μB per atom
Crystal system: tetragonal
Calculated total energy: -3.160 eV per atom

No. 4
Crystalline MnCoRe at its relaxed geometry, computed with PBE.

Unit cell a=5.6063 b=5.6063 c=5.6063 alpha=90.00 beta=90.00 gamma=90.00
Sites, in units of the cell vectors:
Mn (0.0000, 0.0000, 0.0000)
Mn (0.0000, 0.5000, 0.5000)
Mn (0.5000, 0.0000, 0.5000)
Mn (0.5000, 0.5000, 0.0000)
Co (0.2500, 0.2500, 0.7500)
Co (0.2500, 0.7500, 0.2500)
Co (0.7500, 0.2500, 0.2500)
Co (0.7500, 0.7500, 0.7500)
Re (0.0000, 0.0000, 0.5000)
Re (0.0000, 0.5000, 0.0000)
Re (0.5000, 0.0000, 0.0000)
Re (0.5000, 0.5000, 0.5000)

DOS(E_F): 0.825 states/eV/atom
Formation energy from the elements: 1.65 eV per formula unit
Spin magnetization: 1.457 μB per atom
Crystal system: cubic
Calculated total energy: -9.024 eV per atom